# 1
La2Au2Br | PBE-GGA | relaxed

Summary:
Energy relative to the elements, uncorrected in meV/atom: -1020.9

Geometry as CIF:
```
data_La2Au2Br
_cell_length_a 8.377
_cell_length_b 8.377
_cell_length_c 4.054
_cell_angle_alpha 90.00
_cell_angle_beta 90.00
_cell_angle_gamma 90.00
_symmetry_space_group_name_H-M 'P 4/m b m'
_symmetry_Int_Tables_number 127
_symmetry_space_group_name_Hall '-P 4 2ab'
loop_
_atom_site_label
_atom_site_fract_x
_atom_site_fract_y
_atom_site_fract_z
La1 0.168 0.332 0.000
Au1 0.126 0.626 0.500
Br1 0.000 0.000 0.000
```

# 2
La2PuZn2Rh5 | PBE-GGA | relaxed

Summary:
Formation enthalpy at 0 K in kcal/mol of atoms: -13.0

Geometry as CIF:
```
data_La2PuZn2Rh5
_cell_length_a 10.034
_cell_length_b 10.034
_cell_length_c 3.734
_cell_angle_alpha 90.00
_cell_angle_beta 90.00
_cell_angle_gamma 90.00
_symmetry_space_group_name_H-M 'P 4/m b m'
_symmetry_Int_Tables_number 127
_symmetry_space_group_name_Hall '-P 4 2ab'
loop_
_atom_site_label
_atom_site_fract_x
_atom_site_fract_y
_atom_site_fract_z
La1 0.173 0.327 0.000
Pu1 0.000 0.000 0.000
Zn1 0.123 0.623 0.000
Rh1 0.000 0.500 0.500
Rh2 0.068 0.793 0.500
```

# 3
CaLa2Tc | PBE-GGA | relaxed

Summary:
Formation enthalpy at 0 K in kcal/mol of atoms: 9.6

Geometry as CIF:
```
data_CaLa2Tc
_cell_length_a 7.516
_cell_length_b 7.516
_cell_length_c 7.516
_cell_angle_alpha 90.00
_cell_angle_beta 90.00
_cell_angle_gamma 90.00
_symmetry_space_group_name_H-M 'F -4 3 m'
_symmetry_Int_Tables_number 216
_symmetry_space_group_name_Hall 'F -4 2 3'
loop_
_atom_site_label
_atom_site_fract_x
_atom_site_fract_y
_atom_site_fract_z
Ca1 0.000 0.000 0.000
La1 0.000 0.000 0.500
La2 0.250 0.250 0.750
Tc1 0.250 0.250 0.250
```

# 4
YPu3Rh4 | PBE-GGA | relaxed

Summary:
Formation enthalpy at 0 K in kcal/mol of atoms: -11.8

Geometry as CIF:
```
data_YPu3Rh4
_cell_length_a 8.373
_cell_length_b 4.847
_cell_length_c 8.409
_cell_angle_alpha 90.00
_cell_angle_beta 109.20
_cell_angle_gamma 90.00
_symmetry_space_group_name_H-M 'C 1 2/m 1'
_symmetry_Int_Tables_number 12
loop_
_symmetry_equiv_pos_as_xyz
'x,y,z'
'-x,-y,-z'
'-x,y,-z'
'x,-y,z'
'x+1/2,y+1/2,z'
'-x+1/2,-y+1/2,-z'
'-x+1/2,y+1/2,-z'
'x+1/2,-y+1/2,z'
loop_
_atom_site_label
_atom_site_fract_x
_atom_site_fract_y
_atom_site_fract_z
Y1 0.000 0.000 0.000
Pu1 0.000 0.500 0.500
Pu2 0.250 0.000 0.750
Rh1 0.125 0.500 0.874
Rh2 0.126 0.000 0.377
```

# 5
NaCd4In3 | PBE-GGA | relaxed

Summary:
Formation enthalpy at 0 K in kcal/mol of atoms: -0.3

Geometry as CIF:
```
data_NaCd4In3
_cell_length_a 9.397
_cell_length_b 6.506
_cell_length_c 6.468
_cell_angle_alpha 90.00
_cell_angle_beta 90.00
_cell_angle_gamma 90.00
_symmetry_space_group_name_H-M 'P m n 21'
_symmetry_Int_Tables_number 31
loop_
_symmetry_equiv_pos_as_xyz
'x,y,z'
'-x+1/2,-y,z+1/2'
'-x,y,z'
'x+1/2,-y,z+1/2'
loop_
_atom_site_label
_atom_site_fract_x
_atom_site_fract_y
_atom_site_fract_z
Na1 0.000 0.001 0.000
Cd1 0.000 0.495 0.497
Cd2 0.000 0.997 0.500
Cd3 0.249 0.751 0.748
In1 0.000 0.501 0.998
In2 0.250 0.248 0.749
```

# 6
BaCaCo | PBE-GGA | relaxed

Summary:
Formation enthalpy at 0 K in kcal/mol of atoms: 11.2

Geometry as CIF:
```
data_BaCaCo
_cell_length_a 7.226
_cell_length_b 7.226
_cell_length_c 7.226
_cell_angle_alpha 90.00
_cell_angle_beta 90.00
_cell_angle_gamma 90.00
_symmetry_space_group_name_H-M 'F -4 3 m'
_symmetry_Int_Tables_number 216
_symmetry_space_group_name_Hall 'F -4 2 3'
loop_
_atom_site_label
_atom_site_fract_x
_atom_site_fract_y
_atom_site_fract_z
Ba1 0.000 0.000 0.000
Ca1 0.000 0.000 0.500
Co1 0.250 0.250 0.250
```